Crystalline La3Tb2Pb3 at its relaxed geometry, computed with GGA-PBE.

a b c (Å): 6.834 9.436 9.436
angles (deg): 120.00 90.00 90.00
Atoms (fractional coordinates):
La  0.750  0.243  0.000
La  0.750  0.757  0.757
La  0.750  0.000  0.243
La  0.250  0.757  0.000
La  0.250  0.243  0.243
La  0.250  0.000  0.757
Tb  0.000  0.333  0.667
Tb  0.500  0.667  0.333
Tb  0.000  0.667  0.333
Tb  0.500  0.333  0.667
Pb  0.750  0.602  0.000
Pb  0.750  0.398  0.398
Pb  0.750  0.000  0.602
Pb  0.250  0.398  0.000
Pb  0.250  0.602  0.602
Pb  0.250  0.000  0.398

## Properties
The calculated formation energy comes out at -0.552 eV/atom. The space group is No. 193.

---

Crystalline Rb4Np3AgTe8 at its relaxed geometry, computed with GGA-PBE.

a b c (Å): 9.114 9.967 9.115
angles (deg): 117.22 119.99 90.00
Atoms (fractional coordinates):
Rb  0.500  0.000  0.000
Rb  0.500  0.000  0.500
Rb  0.000  0.000  0.000
Rb  0.000  0.000  0.500
Np  0.500  0.500  0.000
Np  0.500  0.500  0.500
Np  0.000  0.500  0.500
Ag  0.000  0.500  0.000
Te  0.234  0.694  0.960
Te  0.234  0.694  0.468
Te  0.267  0.300  0.533
Te  0.727  0.694  0.960
Te  0.273  0.306  0.040
Te  0.733  0.700  0.467
Te  0.766  0.306  0.532
Te  0.766  0.306  0.040

## Properties
The space group is No. 166. The uncorrected formation energy is -0.76 eV/atom.

---

Crystalline NaCrCuSe2 at its relaxed geometry, computed with GGA-PBE.

a b c (Å): 4.484 6.876 7.249
angles (deg): 99.68 90.00 90.00
Atoms (fractional coordinates):
Na  0.145  0.500  0.750
Na  0.855  0.500  0.250
Cr  0.498  0.000  0.250
Cr  0.502  0.000  0.750
Cu  0.000  0.000  0.000
Cu  0.000  0.000  0.500
Se  0.647  0.751  0.962
Se  0.647  0.249  0.538
Se  0.353  0.751  0.462
Se  0.353  0.249  0.038

## Properties
The calculation puts the energy above the most stable polymorph in this dataset at 0.000 eV/atom. The space group is No. 13. The uncorrected formation energy is -0.46 eV/atom.

---

Crystalline K2CaPdF6 at its relaxed geometry, computed with GGA-PBE.

a b c (Å): 6.140 6.229 8.714
angles (deg): 90.00 90.23 90.00
Atoms (fractional coordinates):
K  0.009  0.962  0.250
K  0.509  0.538  0.750
K  0.991  0.038  0.750
K  0.491  0.462  0.250
Ca  0.500  0.000  0.000
Ca  0.000  0.500  0.500
Pd  0.500  0.000  0.500
Pd  0.000  0.500  0.000
F  0.287  0.710  0.039
F  0.787  0.790  0.539
F  0.713  0.290  0.961
F  0.213  0.210  0.461
F  0.292  0.714  0.461
F  0.792  0.786  0.961
F  0.708  0.286  0.539
F  0.208  0.214  0.039
F  0.926  0.522  0.247
F  0.426  0.978  0.747
F  0.074  0.478  0.753
F  0.574  0.022  0.253

## Properties
The space group is No. 14. The uncorrected formation energy is -2.64 eV/atom.

---

Crystalline YEr3Ag4 at its relaxed geometry, computed with GGA-PBE.

a b c (Å): 5.132 7.175 10.264
angles (deg): 90.00 90.00 90.00
Atoms (fractional coordinates):
Y  0.000  0.500  0.000
Y  0.000  0.500  0.500
Ag  0.500  0.753  0.000
Ag  0.500  0.753  0.500
Ag  0.500  0.247  0.000
Ag  0.500  0.247  0.500
Ag  0.001  0.754  0.750
Ag  0.999  0.754  0.250
Ag  0.999  0.246  0.250
Ag  0.001  0.246  0.750
Er  0.000  0.000  0.000
Er  0.000  0.000  0.500
Er  0.501  0.000  0.750
Er  0.499  0.000  0.250
Er  0.501  0.500  0.750
Er  0.499  0.500  0.250

## Properties
The calculated formation energy comes out at -0.332 eV/atom. The space group is No. 51.

---

Crystalline SrSm2Zr at its relaxed geometry, computed with GGA-PBE.

a b c (Å): 3.465 3.465 12.905
angles (deg): 82.28 82.28 60.00
Atoms (fractional coordinates):
Sr  0.500  0.500  0.500
Zr  0.000  0.000  0.000
Sm  0.080  0.080  0.759
Sm  0.920  0.920  0.241

## Properties
The calculation puts the energy above the most stable polymorph in this dataset at 0.334 eV/atom. The calculated formation energy comes out at 0.499 eV/atom. The space group is No. 166.

---

Crystalline NiPS2Cl at its relaxed geometry, computed with GGA-PBE.

a b c (Å): 4.570 4.570 4.563
angles (deg): 90.00 90.00 90.00
Atoms (fractional coordinates):
Ni  0.500  0.500  0.500
S  0.000  0.500  0.000
S  0.500  0.000  0.000
P  0.000  0.000  0.000
Cl  0.000  0.000  0.500

## Properties
The calculation puts the energy above the most stable polymorph in this dataset at 0.124 eV/atom. The space group is No. 123. The uncorrected formation energy is 0.71 eV/atom.

---

Crystalline Be2Al2Ag at its relaxed geometry, computed with GGA-PBE.

a b c (Å): 6.116 6.116 3.642
angles (deg): 90.00 90.00 90.00
Atoms (fractional coordinates):
Be  0.377  0.877  0.000
Be  0.877  0.623  0.000
Be  0.623  0.123  0.000
Be  0.123  0.377  0.000
Al  0.162  0.662  0.500
Al  0.662  0.838  0.500
Al  0.838  0.338  0.500
Al  0.338  0.162  0.500
Ag  0.000  0.000  0.000
Ag  0.500  0.500  0.000

## Properties
The calculation puts the energy above the most stable polymorph in this dataset at 0.000 eV/atom. The calculated formation energy comes out at 0.176 eV/atom. The space group is No. 127.

---

Crystalline LaThPb2 at its relaxed geometry, computed with GGA-PBE.

a b c (Å): 3.641 3.641 9.275
angles (deg): 90.00 90.00 90.00
Atoms (fractional coordinates):
Pb  0.000  0.000  0.752
Pb  0.000  0.000  0.248
Th  0.500  0.500  0.000
La  0.500  0.500  0.500

## Properties
The calculated formation energy comes out at -0.437 eV/atom. The space group is No. 123.

---

Crystalline Sb3HRh at its relaxed geometry, computed with GGA-PBE.

a b c (Å): 4.566 4.566 4.566
angles (deg): 90.00 90.00 90.00
Atoms (fractional coordinates):
Sb  0.000  0.500  0.000
Sb  0.000  0.000  0.500
Sb  0.500  0.000  0.000
Rh  0.500  0.500  0.500
H  0.000  0.000  0.000

## Properties
The calculation puts the energy above the most stable polymorph in this dataset at 0.000 eV/atom. The space group is No. 221.